# 1
First-principles (PBE-GGA) data for a relaxed Pm2ErAg5 crystal, as listed in Alexandria.

Cell and atoms, written as POSCAR:
```
Pm2ErAg5
1.0
-1.656 -1.808 4.487
1.613 -4.678 -1.289
6.399 4.639 1.317
Ag Pm Er
5 2 1
Direct
0.887 0.387 0.774 Ag
0.113 0.613 0.226 Ag
0.613 0.113 0.226 Ag
0.387 0.887 0.774 Ag
0.500 0.500 0.000 Ag
0.731 0.731 0.463 Pm
0.269 0.269 0.537 Pm
0.000 0.000 0.000 Er
```

SG: I4/mmm (139)
DFT formation energy in eV/atom: -0.213
Raw total energy in eV per cell: -30.03

# 2
First-principles (PBE-GGA) data for a relaxed PmErAg crystal, as listed in Alexandria.

Cell and atoms, written as POSCAR:
```
PmErAg
1.0
5.043 0.000 0.000
2.521 4.367 0.000
2.521 1.456 8.354
Pm Er Ag
2 2 2
Direct
0.124 0.124 0.629 Pm
0.876 0.876 0.371 Pm
0.374 0.374 0.879 Er
0.626 0.626 0.121 Er
0.254 0.254 0.239 Ag
0.746 0.746 0.761 Ag
```

SG: R-3m (166)
E above lowest polymorph in kJ/mol of atoms: 22.1
DFT formation energy in eV/atom: 0.059
Raw total energy in eV per cell: -23.97

# 3
First-principles (PBE-GGA) data for a relaxed Pm4Er5Ag crystal, as listed in Alexandria.

Cell and atoms, written as POSCAR:
```
Pm4Er5Ag
1.0
3.581 0.000 0.000
0.000 3.581 0.000
0.000 0.000 23.881
Er Pm Ag
5 4 1
Direct
0.500 0.500 0.710 Er
0.500 0.500 0.923 Er
0.500 0.500 0.290 Er
0.500 0.500 0.500 Er
0.500 0.500 0.077 Er
0.000 0.000 0.605 Pm
0.000 0.000 0.816 Pm
0.000 0.000 0.184 Pm
0.000 0.000 0.395 Pm
0.000 0.000 0.000 Ag
```

SG: P4/mmm (123)
DFT formation energy in eV/atom: -0.045
Raw total energy in eV per cell: -45.11

# 4
First-principles (PBE-GGA) data for a relaxed PmPrErAg crystal, as listed in Alexandria.

Cell and atoms, written as POSCAR:
```
PmPrErAg
1.0
-2.664 2.016 1.534
-2.042 -0.391 -3.032
-3.563 -7.246 3.336
Pr Pm Ag Er
1 1 1 1
Direct
0.000 0.000 0.079 Pr
0.500 0.500 0.782 Pm
0.000 0.000 0.557 Ag
0.500 0.500 0.367 Er
```

SG: P4mm (99)
E above lowest polymorph in kJ/mol of atoms: 0.0
DFT formation energy in eV/atom: -0.126
Raw total energy in eV per cell: -17.45

# 5
First-principles (PBE-GGA) data for a relaxed PmPrErAg crystal, as listed in Alexandria.

Cell and atoms, written as POSCAR:
```
PmPrErAg
1.0
5.479 0.000 0.000
2.740 4.745 0.000
2.740 1.582 4.474
Pm Er Ag Pr
1 1 1 1
Direct
0.750 0.750 0.750 Pm
0.000 0.000 0.000 Er
0.250 0.250 0.250 Ag
0.500 0.500 0.500 Pr
```

SG: F-43m (216)
E above lowest polymorph in kJ/mol of atoms: 22.6
DFT formation energy in eV/atom: 0.108
Raw total energy in eV per cell: -16.51

# 6
First-principles (PBE-GGA) data for a relaxed PmErAgRh crystal, as listed in Alexandria.

Cell and atoms, written as POSCAR:
```
PmErAgRh
1.0
5.032 0.000 0.000
2.516 4.357 0.000
2.516 1.452 4.108
Er Rh Ag Pm
1 1 1 1
Direct
0.000 0.000 0.000 Er
0.750 0.750 0.750 Rh
0.250 0.250 0.250 Ag
0.500 0.500 0.500 Pm
```

SG: F-43m (216)
E above lowest polymorph in kJ/mol of atoms: 2.8
DFT formation energy in eV/atom: -0.527
Raw total energy in eV per cell: -21.62

# 7
First-principles (PBE-GGA) data for a relaxed PmErAgRh crystal, as listed in Alexandria.

Cell and atoms, written as POSCAR:
```
PmErAgRh
1.0
3.530 0.000 0.000
0.000 3.530 0.000
0.000 0.000 7.270
Er Pm Ag Rh
1 1 1 1
Direct
0.000 0.000 0.377 Er
0.000 0.000 0.835 Pm
0.500 0.500 0.124 Ag
0.500 0.500 0.592 Rh
```

SG: P4mm (99)
E above lowest polymorph in kJ/mol of atoms: 0.0
DFT formation energy in eV/atom: -0.555
Raw total energy in eV per cell: -21.74

# 8
First-principles (PBE-GGA) data for a relaxed PmEr2Ag3S6 crystal, as listed in Alexandria.

Cell and atoms, written as POSCAR:
```
PmEr2Ag3S6
1.0
-2.677 2.166 -2.152
-5.754 0.444 7.603
5.982 5.114 1.539
Pm Er S Ag
1 2 6 3
Direct
0.500 0.000 0.000 Pm
0.166 0.337 0.333 Er
0.834 0.663 0.667 Er
0.990 0.200 0.980 S
0.687 0.148 0.373 S
0.342 0.481 0.685 S
0.313 0.852 0.627 S
0.010 0.800 0.020 S
0.658 0.519 0.315 S
0.827 0.060 0.654 Ag
0.173 0.940 0.346 Ag
0.500 0.500 0.000 Ag
```

ΔE_f (raw) in eV per atom: -1.29
SG: C2/m (12)
Raw total energy in eV per cell: -62.73

# 9
First-principles (PBE-GGA) data for a relaxed PmErScAg crystal, as listed in Alexandria.

Cell and atoms, written as POSCAR:
```
PmErScAg
1.0
-1.730 -3.664 -3.313
-1.596 -4.637 1.828
-5.082 -1.245 -0.103
Ag Er Pm Sc
1 1 1 1
Direct
0.750 0.750 0.750 Ag
0.500 0.500 0.500 Er
0.250 0.250 0.250 Pm
0.000 0.000 0.000 Sc
```

SG: F-43m (216)
DFT formation energy in eV/atom: 0.108
Raw total energy in eV per cell: -18.07

# 10
First-principles (PBE-GGA) data for a relaxed Pm2ErAgSe5 crystal, as listed in Alexandria.

Cell and atoms, written as POSCAR:
```
Pm2ErAgSe5
1.0
-3.140 -2.056 1.716
6.785 -1.509 5.646
-3.133 10.201 6.492
Se Pm Er Ag
10 4 2 2
Direct
0.502 0.005 0.273 Se
0.714 0.428 0.167 Se
0.695 0.389 0.845 Se
0.286 0.572 0.667 Se
0.359 0.718 0.000 Se
0.498 0.995 0.773 Se
0.954 0.908 0.580 Se
0.046 0.092 0.080 Se
0.641 0.282 0.500 Se
0.305 0.611 0.345 Se
0.890 0.780 0.186 Pm
0.875 0.749 0.805 Pm
0.125 0.251 0.305 Pm
0.110 0.220 0.686 Pm
0.196 0.391 0.009 Er
0.804 0.609 0.509 Er
0.443 0.886 0.459 Ag
0.557 0.114 0.959 Ag
```

ΔE_f (raw) in eV per atom: -1.54
SG: Cmc2_1 (36)
Raw total energy in eV per cell: -96.32

# 11
First-principles (PBE-GGA) data for a relaxed PmErAg2Se4 crystal, as listed in Alexandria.

Cell and atoms, written as POSCAR:
```
PmErAg2Se4
1.0
-1.485 3.666 -1.460
-2.691 1.371 6.178
4.817 3.600 4.138
Se Ag Pm Er
4 2 1 1
Direct
0.500 0.251 0.756 Se
0.500 0.749 0.244 Se
0.000 0.254 0.241 Se
0.000 0.746 0.759 Se
0.000 0.000 0.000 Ag
0.500 0.000 0.500 Ag
0.000 0.500 0.500 Pm
0.500 0.500 0.000 Er
```

ΔE_f (raw) in eV per atom: -1.16
SG: P2/m (10)
Raw total energy in eV per cell: -38.20

# 12
First-principles (PBE-GGA) data for a relaxed Pm2ErAg3Se6 crystal, as listed in Alexandria.

Cell and atoms, written as POSCAR:
```
Pm2ErAg3Se6
1.0
4.274 0.000 0.000
0.000 9.696 0.582
-2.137 -2.365 7.787
Se Ag Pm Er
6 3 2 1
Direct
0.677 0.121 0.354 Se
0.019 0.810 0.038 Se
0.981 0.190 0.962 Se
0.657 0.535 0.315 Se
0.323 0.879 0.646 Se
0.343 0.465 0.685 Se
0.163 0.726 0.327 Ag
0.500 0.500 0.000 Ag
0.837 0.274 0.673 Ag
0.161 0.314 0.321 Pm
0.839 0.686 0.679 Pm
0.500 0.000 0.000 Er
```

ΔE_f (raw) in eV per atom: -1.17
SG: C2/m (12)
Raw total energy in eV per cell: -57.57